# 1
## Pm3SmTm7 (PBE-GGA)

Data for Pm3SmTm7 after structural relaxation.

Results
As for the energy above the lowest structure with this stoichiometry: 0.0 meV per atom. Its spin magnetization is 0.000 μB/atom. As for the final energy: -4.41 eV per atom.

Lattice parameters (Å, degrees): 6.9315 5.4799 9.9611 90.00 110.29 90.00
Fractional positions:
Pm 0.0000 0.0000 0.0000
Pm 0.2836 0.5000 0.4994
Pm 0.7164 0.5000 0.5006
Sm 0.5000 0.0000 0.0000
Tm 0.0000 0.0000 0.5000
Tm 0.1448 0.5000 0.7886
Tm 0.3203 0.5000 0.1393
Tm 0.4167 0.0000 0.3301
Tm 0.5833 0.0000 0.6699
Tm 0.6797 0.5000 0.8607
Tm 0.8552 0.5000 0.2114



# 2
## Pm5SmTm2 (PBE-GGA)

Data for Pm5SmTm2 after structural relaxation.

Results
As for the energy above the lowest structure with this stoichiometry: 0.0 meV per atom. Its spin magnetization is 0.000 μB/atom. As for the final energy: -4.66 eV per atom.

Lattice parameters (Å, degrees): 7.2093 14.4184 5.0933 90.00 90.00 90.00
Fractional positions:
Pm 0.0000 0.0000 0.0000
Pm 0.9998 0.2502 0.0000
Pm 0.0002 0.7498 0.0000
Pm 0.2500 0.1248 0.5000
Pm 0.2500 0.6248 0.5000
Pm 0.4998 0.2498 0.0000
Pm 0.5000 0.5000 0.0000
Pm 0.5002 0.7502 0.0000
Pm 0.7500 0.3752 0.5000
Pm 0.7500 0.8752 0.5000
Sm 0.0000 0.5000 0.0000
Sm 0.5000 0.0000 0.0000
Tm 0.2497 0.3751 0.5000
Tm 0.2503 0.8751 0.5000
Tm 0.7497 0.1249 0.5000
Tm 0.7503 0.6249 0.5000



# 3
## PmSm6Tm12 (PBE-GGA)

Data for PmSm6Tm12 after structural relaxation.

Results
As for the energy above the lowest structure with this stoichiometry: 453.1 meV per atom. Its spin magnetization is 0.000 μB/atom. As for the final energy: -4.09 eV per atom.

Lattice parameters (Å, degrees): 8.7853 8.7853 8.7853 99.60 99.60 99.60
Fractional positions:
Pm 0.0000 0.0000 0.0000
Sm 0.2126 0.2126 0.7401
Sm 0.2126 0.7401 0.2126
Sm 0.2599 0.7874 0.7874
Sm 0.7401 0.2126 0.2126
Sm 0.7874 0.2599 0.7874
Sm 0.7874 0.7874 0.2599
Tm 0.1169 0.5000 0.8831
Tm 0.1169 0.8831 0.5000
Tm 0.1774 0.4641 0.4641
Tm 0.4641 0.1774 0.4641
Tm 0.4641 0.4641 0.1774
Tm 0.5000 0.1169 0.8831
Tm 0.5000 0.8831 0.1169
Tm 0.5359 0.5359 0.8226
Tm 0.5359 0.8226 0.5359
Tm 0.8226 0.5359 0.5359
Tm 0.8831 0.1169 0.5000
Tm 0.8831 0.5000 0.1169



# 4
## PmSm2Tm2 (PBE-GGA)

Data for PmSm2Tm2 after structural relaxation.

Results
As for the energy above the lowest structure with this stoichiometry: 14.6 meV per atom. Its spin magnetization is 0.000 μB/atom. As for the final energy: -4.61 eV per atom.

Lattice parameters (Å, degrees): 6.1801 6.1801 11.3373 90.11 90.11 48.25
Fractional positions:
Pm 0.2504 0.2504 0.2483
Pm 0.7496 0.7496 0.7517
Sm 0.3510 0.3510 0.5503
Sm 0.4502 0.4502 0.8513
Sm 0.5498 0.5498 0.1487
Sm 0.6490 0.6490 0.4497
Tm 0.0504 0.0504 0.6503
Tm 0.1500 0.1500 0.9497
Tm 0.8500 0.8500 0.0503
Tm 0.9496 0.9496 0.3497